This record from the Alexandria database describes AgOs2Pt at its PBEsol-relaxed geometry. The functional is meta-GGA SCAN.

abc: 3.871 3.871 4.758
angles: 114.00 114.00 90.00
Sites, in units of the cell vectors:
Os  0.750  0.250  0.500
Pt  0.500  0.500  0.000
Os  0.000  0.000  0.000
Ag  0.250  0.750  0.500

- SG: I-4m2
- E_tot: -60.789 eV/atom
- M_tot: 0.0 μB/f.u.
- Formation energy: 541 meV per atom